First-principles (PBE) data for a geometry-optimized Na2B3C structure, as listed in the Alexandria database.

The structure in CIF format:
```
data_Na2B3C
_cell_length_a 17.9437
_cell_length_b 2.8381
_cell_length_c 13.5054
_cell_angle_alpha 90.00
_cell_angle_beta 112.89
_cell_angle_gamma 90.00
_space_group_name_H-M_alt 'C 1 m 1'
_space_group_IT_number 8
loop_
_space_group_symop_operation_xyz
'x,y,z'
'x,-y,z'
'x+1/2,y+1/2,z'
'x+1/2,-y+1/2,z'
loop_
_atom_site_label
_atom_site_type_symbol
_atom_site_fract_x
_atom_site_fract_y
_atom_site_fract_z
_atom_site_occupancy
Na1 Na 0.0000 0.0000 0.0000 1
Na2 Na 0.0003 0.0000 0.4951 1
Na3 Na 0.0988 0.5000 0.1980 1
Na4 Na 0.1002 0.5000 0.6985 1
Na5 Na 0.1963 0.0000 0.3967 1
Na6 Na 0.2009 0.0000 0.8989 1
Na7 Na 0.2981 0.5000 0.5973 1
Na8 Na 0.3000 0.5000 0.0978 1
Na9 Na 0.3984 0.0000 0.8000 1
Na10 Na 0.4002 0.0000 0.2952 1
B1 B 0.0333 0.0000 0.8166 1
B2 B 0.0610 0.5000 0.3694 1
B3 B 0.0736 0.5000 0.8964 1
B4 B 0.1302 0.5000 0.5087 1
B5 B 0.1399 0.5000 0.0300 1
B6 B 0.1698 0.0000 0.5885 1
B7 B 0.2318 0.0000 0.2125 1
B8 B 0.2631 0.5000 0.7760 1
B9 B 0.3224 0.5000 0.3925 1
B10 B 0.3319 0.5000 0.9146 1
B11 B 0.3637 0.0000 0.4752 1
B12 B 0.3722 0.0000 0.9948 1
B13 B 0.4266 0.0000 0.6021 1
B14 B 0.4662 0.5000 0.1810 1
B15 B 0.4690 0.5000 0.6881 1
C1 C 0.0302 0.0000 0.3074 1
C2 C 0.1695 0.0000 0.0900 1
C3 C 0.2319 0.0000 0.7132 1
C4 C 0.2630 0.5000 0.2737 1
C5 C 0.4345 0.0000 0.1187 1
```

Results
ΔH_f (0 K) = 0.15 eV/atom